Entry 1:
First-principles (PBE-GGA) data for K2MnI4 after structural relaxation, as listed in Alexandria.

POSCAR file:
```
K2MnI4
1.0
8.054 0.000 0.000
0.000 8.325 0.000
-3.014 0.000 9.323
K Mn I
4 2 8
Direct
0.219 0.250 0.053
0.253 0.250 0.565
0.747 0.750 0.435
0.781 0.750 0.947
0.229 0.750 0.803
0.771 0.250 0.197
0.004 0.001 0.743
0.004 0.499 0.743
0.414 0.750 0.082
0.426 0.750 0.625
0.574 0.250 0.375
0.586 0.250 0.918
0.996 0.501 0.257
0.996 0.999 0.257
```

Space group = P2_1/m, No. 11



Entry 2:
First-principles (PBE-GGA) data for KMnIN2 after structural relaxation, as listed in Alexandria.

POSCAR file:
```
KMnIN2
1.0
3.981 0.000 0.000
0.000 3.981 0.000
0.000 0.000 5.603
K Mn I N
1 1 1 2
Direct
0.000 0.000 0.000
0.500 0.500 0.500
0.500 0.500 0.000
0.000 0.500 0.500
0.500 0.000 0.500
```

Space group = P4/mmm, No. 123



Entry 3:
First-principles (PBE-GGA) data for KMnIN2 after structural relaxation, as listed in Alexandria.

POSCAR file:
```
KMnIN2
1.0
5.113 0.000 0.000
0.000 5.113 0.000
0.000 0.000 7.004
K Mn I N
1 1 1 2
Direct
0.000 0.000 0.000
0.500 0.500 0.500
0.000 0.000 0.500
0.000 0.500 0.000
0.500 0.000 0.000
```

Space group = P4/mmm, No. 123



Entry 4:
First-principles (PBE-GGA) data for KNaMn2I8 after structural relaxation, as listed in Alexandria.

POSCAR file:
```
KNaMn2I8
1.0
7.452 0.000 0.000
-3.726 6.454 0.000
0.000 0.000 10.719
K Na Mn I
1 1 2 8
Direct
0.000 0.000 0.000
0.000 0.000 0.500
0.333 0.667 0.759
0.667 0.333 0.241
0.004 0.668 0.307
0.332 0.336 0.307
0.333 0.667 0.000
0.336 0.004 0.693
0.664 0.996 0.307
0.667 0.333 0.000
0.668 0.664 0.693
0.996 0.332 0.693
```

Space group = P-3, No. 147



Entry 5:
First-principles (PBE-GGA) data for KNa3Mn4I12 after structural relaxation, as listed in Alexandria.

POSCAR file:
```
KNa3Mn4I12
1.0
8.239 4.757 4.050
-8.239 4.757 4.050
0.000 -9.513 4.050
K Na Mn I
1 3 4 12
Direct
0.000 0.000 0.000
0.000 0.553 0.447
0.447 0.000 0.553
0.553 0.447 0.000
0.060 0.500 0.940
0.500 0.500 0.500
0.500 0.940 0.060
0.940 0.060 0.500
0.047 0.663 0.785
0.099 0.901 0.500
0.215 0.337 0.953
0.337 0.953 0.215
0.342 0.658 0.500
0.500 0.099 0.901
0.500 0.342 0.658
0.658 0.500 0.342
0.663 0.785 0.047
0.785 0.047 0.663
0.901 0.500 0.099
0.953 0.215 0.337
```

Space group = R32, No. 155



Entry 6:
First-principles (PBE-GGA) data for K2NaMnI6 after structural relaxation, as listed in Alexandria.

POSCAR file:
```
K2NaMnI6
1.0
7.913 0.000 0.000
0.000 8.763 0.000
-7.645 0.000 11.493
K Na Mn I
4 2 2 12
Direct
0.219 0.096 0.257
0.219 0.404 0.757
0.781 0.596 0.243
0.781 0.904 0.743
0.000 0.000 0.500
0.000 0.500 0.000
0.500 0.000 0.000
0.500 0.500 0.500
0.169 0.160 0.955
0.169 0.340 0.455
0.268 0.698 0.954
0.268 0.802 0.454
0.372 0.011 0.773
0.372 0.489 0.273
0.628 0.511 0.727
0.628 0.989 0.227
0.732 0.198 0.546
0.732 0.302 0.046
0.831 0.660 0.545
0.831 0.840 0.045
```

Space group = P2_1/c, No. 14



Entry 7:
First-principles (PBE-GGA) data for KNa2MnI6 after structural relaxation, as listed in Alexandria.

POSCAR file:
```
KNa2MnI6
1.0
7.627 0.000 0.000
2.780 7.362 0.000
2.126 1.894 7.355
K Na Mn I
1 2 1 6
Direct
0.000 0.000 0.000
0.384 0.039 0.347
0.752 0.652 0.830
0.841 0.365 0.396
0.063 0.510 0.086
0.074 0.364 0.597
0.486 0.996 0.958
0.544 0.601 0.564
0.614 0.350 0.198
0.971 0.978 0.484
```

Space group = P1, No. 1



Entry 8:
First-principles (PBE-GGA) data for KNaMn2I6 after structural relaxation, as listed in Alexandria.

POSCAR file:
```
KNaMn2I6
1.0
7.814 -6.844 0.000
7.814 6.844 0.000
-2.482 0.000 7.971
K Na Mn I
2 2 4 12
Direct
0.186 0.814 0.750
0.814 0.186 0.250
0.404 0.596 0.250
0.596 0.404 0.750
0.119 0.304 0.759
0.304 0.119 0.259
0.696 0.881 0.741
0.881 0.696 0.241
0.093 0.176 0.007
0.122 0.591 0.354
0.176 0.093 0.507
0.300 0.480 0.856
0.409 0.878 0.146
0.480 0.300 0.356
0.520 0.700 0.644
0.591 0.122 0.854
0.700 0.520 0.144
0.824 0.907 0.493
0.878 0.409 0.646
0.907 0.824 0.993
```

Space group = C2/c, No. 15



Entry 9:
First-principles (PBE-GGA) data for KNpMnI6 after structural relaxation, as listed in Alexandria.

POSCAR file:
```
KNpMnI6
1.0
7.834 0.000 0.000
-3.917 6.784 0.000
0.000 0.000 15.512
K Np Mn I
2 2 2 12
Direct
0.000 0.000 0.000
0.000 0.000 0.500
0.333 0.667 0.250
0.667 0.333 0.750
0.333 0.667 0.750
0.667 0.333 0.250
0.019 0.377 0.639
0.019 0.642 0.861
0.358 0.377 0.861
0.358 0.981 0.639
0.377 0.019 0.139
0.377 0.358 0.361
0.623 0.642 0.639
0.623 0.981 0.861
0.642 0.019 0.361
0.642 0.623 0.139
0.981 0.358 0.139
0.981 0.623 0.361
```

Space group = P-31c, No. 163



Asked for energy relative to the elements, uncorrected across the records above, the calculation gives -1.05; 0.72; 2.05; -0.61; -0.69; -0.94; -0.89; -0.80; -0.84 eV per atom in order.
Asked for calculated density across the records above, the calculation gives 3405; 4654; 2258; 3824; 3227; 3824; 3624; 3636; 4401 kg/m³ in order.